Entry 1:
A relaxed Cs5PSe4F2 crystal, computed with PBE.

a b c (Å): 8.0684 7.6640 9.1963
angles (deg): 90.00 90.00 121.76
Atoms (fractional coordinates):
Se 0.3857 0.2716 0.0000
Se 0.5791 0.0000 0.1982
Se 0.1141 0.7284 0.0000
Se 0.5791 0.0000 0.8018
Cs 0.1213 0.4078 0.2731
Cs 0.3010 0.0000 0.5000
Cs 0.1213 0.4078 0.7269
Cs 0.7135 0.5922 0.7269
Cs 0.7135 0.5922 0.2731
F 0.3877 0.4165 0.5000
F 0.9712 0.5835 0.5000
P 0.4181 0.0000 0.0000

Results
* symmetry: No. 38
* crystal system: orthorhombic
* formation energy (no corrections): -1.44 eV per atom


Entry 2:
A relaxed K2YRu crystal, computed with PBE.

a b c (Å): 3.6475 3.6503 11.7191
angles (deg): 70.93 90.00 90.00
Atoms (fractional coordinates):
K 0.0000 0.0301 0.9567
K 0.5000 0.1767 0.3338
Y 0.5000 0.8445 0.6547
Ru 0.0000 0.4488 0.5548

Results
* symmetry: No. 6
* crystal system: monoclinic
* formation energy: 0.3160 eV per atom
* polymorph energy (0 for the lowest one): 0.000 eV per atom


Entry 3:
A relaxed CaPd crystal, computed with PBE.

a b c (Å): 8.9387 8.9387 4.5050
angles (deg): 90.00 90.00 120.00
Atoms (fractional coordinates):
Ca 0.8035 0.6071 0.2500
Ca 0.1965 0.8035 0.7500
Ca 0.8035 0.1965 0.2500
Ca 0.6071 0.8035 0.7500
Ca 0.1965 0.3929 0.7500
Ca 0.3929 0.1965 0.2500
Pd 0.4392 0.5608 0.2500
Pd 0.5608 0.1215 0.7500
Pd 0.4392 0.8785 0.2500
Pd 0.5608 0.4392 0.7500
Pd 0.1215 0.5608 0.2500
Pd 0.8785 0.4392 0.7500

Results
* symmetry: No. 194
* crystal system: hexagonal
* formation energy: -0.5970 eV per atom


| no. | calculated total energy (eV per atom) |
| --- | --- |
| 1 | -3.72 |
| 2 | -4.17 |
| 3 | -4.19 |